Record 1
The following is a PBE calculation of a relaxed CsKPd2 crystal, from Alexandria via LeMat-Bulk.

Cell lengths 5.5593, 5.5593, 5.5593 Å; angles 60.00, 60.00, 60.00 degrees
Last column: nearest neighbours and their distance in Å.
Fractional positions:
1 Cs 0.0000 0.0000 0.0000  8 Pd 3.40
2 K 0.5000 0.5000 0.5000  8 Pd 3.40
3 Pd 0.2500 0.2500 0.2500  4 K 3.40, 4 Cs 3.40
4 Pd 0.7500 0.7500 0.7500  4 K 3.40, 4 Cs 3.40

Properties
Its uncorrected energy is -10.61 eV/cell. For the volume, the calculation gives 30.4 A^3/atom. For the calculated formation energy, the calculation gives 433 meV/atom.

***

Record 2
The following is a PBE calculation of a relaxed Cs6K2Pd crystal, from Alexandria via LeMat-Bulk.

Cell lengths 10.3513, 10.3369, 17.8670 Å; angles 90.00, 125.39, 90.00 degrees
Last column: nearest neighbours and their distance in Å.
Fractional positions:
1 Cs 0.2356 0.0000 0.2371  1 Pd 3.45
2 Cs 0.2356 0.2384 0.9998  1 Pd 3.47
3 Cs 0.2356 0.2616 0.4998  1 Pd 3.47
4 Cs 0.2356 0.5000 0.7371  1 Pd 3.45
5 Cs 0.2372 0.7368 0.4999  1 Pd 3.47
6 Cs 0.2372 0.7632 0.9999  1 Pd 3.47
7 Cs 0.7628 0.2368 0.0001  1 Pd 3.47
8 Cs 0.7628 0.2632 0.5001  1 Pd 3.47
9 Cs 0.7644 0.0000 0.7629  1 Pd 3.45
10 Cs 0.7644 0.5000 0.2629  1 Pd 3.45
11 Cs 0.7644 0.7384 0.5002  1 Pd 3.47
12 Cs 0.7644 0.7616 0.0002  1 Pd 3.47
13 K 0.2531 0.9998 0.7514  12 Cs 5.14-5.19
14 K 0.2531 0.5002 0.2514  12 Cs 5.14-5.19
15 K 0.7469 0.0002 0.2486  12 Cs 5.14-5.19
16 K 0.7469 0.4998 0.7486  12 Cs 5.14-5.19
17 Pd 0.0000 0.0000 0.0000  6 Cs 3.45-3.47
18 Pd 0.0000 0.5000 0.5000  6 Cs 3.45-3.47

Properties
Its uncorrected energy is -24.72 eV/cell. For the volume, the calculation gives 86.6 A^3/atom. For the calculated formation energy, the calculation gives 17 meV/atom.